A relaxed CrNO crystal, computed with PBE+U.

Calculated values
* DFT total energy: -20.81 eV per formula unit

Cell: 2.7457 2.7457 4.8119 Å, 90.00 90.00 90.00°
Space group P4mm (No. 99)
One atom of each set of equivalent atoms:
Cr  0.0000  0.0000  0.0000 [1 per cell]
N  0.5000  0.5000  0.9110 [1 per cell]
O  0.0000  0.0000  0.3320 [1 per cell]